# Dy3Lu

A relaxed structure of Dy3Lu (PBE-GGA, OQMD via LeMat-Bulk).

Properties
DFT total energy: -4.58 eV/atom

a b c (Å): 5.575 7.164 7.164
angles (deg): 60.00 90.00 90.00
Positions (direct):
Dy1 0.000 0.166 0.166
Dy2 0.500 0.834 0.333
Dy3 0.500 0.333 0.333
Dy4 0.000 0.666 0.666
Dy5 0.500 0.333 0.834
Dy6 0.500 0.834 0.834
Lu1 0.000 0.668 0.167
Lu2 0.000 0.167 0.668

=====

# ThCoPt

A relaxed structure of ThCoPt (PBE-GGA, OQMD via LeMat-Bulk).

Properties
DFT total energy: -7.11 eV/atom

a b c (Å): 4.579 4.579 4.579
angles (deg): 60.00 60.00 60.00
Positions (direct):
Co1 0.250 0.250 0.250
Pt1 0.000 0.000 0.000
Th1 0.750 0.750 0.750

=====

# YNpU

A relaxed structure of YNpU (PBE-GGA, OQMD via LeMat-Bulk).

Properties
DFT total energy: -9.01 eV/atom

a b c (Å): 4.930 4.930 4.930
angles (deg): 60.00 60.00 60.00
Positions (direct):
Np1 0.250 0.250 0.250
U1 0.000 0.000 0.000
Y1 0.750 0.750 0.750

=====

# NbIn2AgSe4

A relaxed structure of NbIn2AgSe4 (PBE-GGA, OQMD via LeMat-Bulk).

Properties
DFT total energy: -4.50 eV/atom

a b c (Å): 13.661 12.085 7.691
angles (deg): 84.27 61.67 34.07
Positions (direct):
Ag1 0.000 0.000 0.000
Ag2 0.250 0.250 0.250
In1 0.665 0.665 0.335
In2 0.915 0.915 0.585
In3 0.335 0.335 0.665
In4 0.585 0.585 0.915
Nb1 0.500 0.500 0.500
Nb2 0.750 0.750 0.750
Se1 0.548 0.325 0.250
Se2 0.877 0.250 0.325
Se3 0.925 0.702 0.373
Se4 0.250 0.877 0.548
Se5 0.000 0.373 0.702
Se6 0.325 0.548 0.877
Se7 0.373 0.000 0.925
Se8 0.702 0.925 0.000

=====

# Tl2Hg

A relaxed structure of Tl2Hg (PBE-GGA, OQMD via LeMat-Bulk).

Properties
DFT total energy: -1.54 eV/atom

a b c (Å): 6.349 6.349 6.349
angles (deg): 60.00 60.00 60.00
Positions (direct):
Hg1 0.000 0.000 0.000
Hg2 0.250 0.250 0.250
Tl1 0.625 0.625 0.125
Tl2 0.625 0.125 0.625
Tl3 0.125 0.625 0.625
Tl4 0.625 0.625 0.625

=====

# HoZrZn

A relaxed structure of HoZrZn (PBE-GGA, OQMD via LeMat-Bulk).

Properties
DFT total energy: -4.60 eV/atom

a b c (Å): 4.727 4.727 4.727
angles (deg): 60.00 60.00 60.00
Positions (direct):
Ho1 0.250 0.250 0.250
Zn1 0.000 0.000 0.000
Zr1 0.750 0.750 0.750

=====

# CoW28

A relaxed structure of CoW28 (PBE-GGA, OQMD via LeMat-Bulk).

Properties
DFT total energy: -12.41 eV/atom

a b c (Å): 8.538 8.538 8.538
angles (deg): 109.47 109.47 109.47
Positions (direct):
Co1 0.000 0.000 0.000
W1 0.640 0.000 0.000
W2 0.379 0.190 0.000
W3 0.190 0.379 0.000
W4 0.686 0.406 0.000
W5 0.000 0.640 0.000
W6 0.406 0.686 0.000
W7 0.810 0.810 0.189
W8 0.379 0.000 0.190
W9 0.000 0.379 0.190
W10 0.594 0.594 0.279
W11 0.721 0.314 0.314
W12 0.314 0.721 0.314
W13 0.360 0.360 0.360
W14 0.190 0.000 0.379
W15 0.000 0.190 0.379
W16 0.686 0.000 0.406
W17 0.000 0.686 0.406
W18 0.594 0.279 0.594
W19 0.279 0.594 0.594
W20 0.811 0.621 0.621
W21 0.621 0.811 0.621
W22 0.000 0.000 0.640
W23 0.406 0.000 0.686
W24 0.000 0.406 0.686
W25 0.314 0.314 0.721
W26 0.810 0.189 0.810
W27 0.189 0.810 0.810
W28 0.621 0.621 0.811

=====

# NpSb

A relaxed structure of NpSb (PBE-GGA, OQMD via LeMat-Bulk).

Properties
DFT total energy: -8.53 eV/atom

a b c (Å): 3.658 3.658 4.661
angles (deg): 90.00 90.00 120.00
Positions (direct):
Np1 0.667 0.333 0.750
Sb1 0.333 0.667 0.250

=====

# UN2

A relaxed structure of UN2 (PBE-GGA, OQMD via LeMat-Bulk).

Properties
DFT total energy: -10.67 eV/atom

a b c (Å): 3.718 3.718 3.718
angles (deg): 120.00 90.00 120.00
Positions (direct):
N1 0.750 0.500 0.250
N2 0.250 0.500 0.750
U1 0.000 0.000 0.000

=====

# PaNiPd

A relaxed structure of PaNiPd (PBE-GGA, OQMD via LeMat-Bulk).

Properties
DFT total energy: -7.01 eV/atom

a b c (Å): 4.364 4.364 4.364
angles (deg): 60.00 60.00 60.00
Positions (direct):
Ni1 0.000 0.000 0.000
Pa1 0.750 0.750 0.750
Pd1 0.250 0.250 0.250

=====

# NaSr3GdP3O12F

A relaxed structure of NaSr3GdP3O12F (PBE-GGA, OQMD via LeMat-Bulk).

Properties
DFT total energy: -7.16 eV/atom

a b c (Å): 9.500 9.500 7.080
angles (deg): 90.00 90.00 120.00
Positions (direct):
F1 0.000 0.000 0.298
F2 0.000 0.000 0.702
Gd1 0.667 0.333 0.474
Gd2 0.333 0.667 0.526
Na1 0.333 0.667 0.026
Na2 0.667 0.333 0.974
O1 0.745 0.044 0.103
O2 0.299 0.255 0.103
O3 0.956 0.701 0.103
O4 0.541 0.132 0.215
O5 0.868 0.409 0.215
O6 0.591 0.459 0.215
O7 0.352 0.504 0.282
O8 0.151 0.648 0.282
O9 0.496 0.849 0.282
O10 0.726 0.108 0.440
O11 0.382 0.274 0.440
O12 0.892 0.618 0.440
O13 0.108 0.382 0.560
O14 0.618 0.726 0.560
O15 0.274 0.892 0.560
O16 0.504 0.151 0.718
O17 0.849 0.352 0.718
O18 0.648 0.496 0.718
O19 0.409 0.541 0.785
O20 0.132 0.591 0.785
O21 0.459 0.868 0.785
O22 0.044 0.299 0.897
O23 0.701 0.745 0.897
O24 0.255 0.956 0.897
P1 0.625 0.030 0.257
P2 0.406 0.375 0.257
P3 0.970 0.594 0.257
P4 0.030 0.406 0.743
P5 0.594 0.625 0.743
P6 0.375 0.970 0.743
Sr1 0.022 0.259 0.242
Sr2 0.741 0.764 0.242
Sr3 0.236 0.978 0.242
Sr4 0.764 0.022 0.758
Sr5 0.259 0.236 0.758
Sr6 0.978 0.741 0.758

=====

# Hf2Pd

A relaxed structure of Hf2Pd (PBE-GGA, OQMD via LeMat-Bulk).

Properties
DFT total energy: -8.89 eV/atom

a b c (Å): 3.286 3.286 10.802
angles (deg): 90.00 90.00 90.00
Positions (direct):
Hf1 0.000 0.000 0.158
Hf2 0.500 0.500 0.342
Hf3 0.500 0.500 0.658
Hf4 0.000 0.000 0.842
Pd1 0.000 0.000 0.501
Pd2 0.500 0.500 0.999

=====

# Pm4IrBr5

A relaxed structure of Pm4IrBr5 (PBE-GGA, OQMD via LeMat-Bulk).

Properties
DFT total energy: -5.11 eV/atom

a b c (Å): 9.705 9.705 8.675
angles (deg): 103.68 103.68 24.33
Positions (direct):
Br1 0.826 0.826 0.157
Br2 0.169 0.169 0.344
Br3 0.500 0.500 0.500
Br4 0.831 0.831 0.656
Br5 0.174 0.174 0.843
Ir1 0.500 0.500 0.000
Pm1 0.652 0.652 0.089
Pm2 0.000 0.000 0.218
Pm3 0.000 0.000 0.782
Pm4 0.348 0.348 0.911

=====

# Hf4CdPN2

A relaxed structure of Hf4CdPN2 (PBE-GGA, OQMD via LeMat-Bulk).

Properties
DFT total energy: -9.04 eV/atom

a b c (Å): 3.305 3.305 13.283
angles (deg): 90.00 90.00 120.00
Positions (direct):
Cd1 0.000 0.000 0.000
Hf1 0.667 0.333 0.183
Hf2 0.000 0.000 0.366
Hf3 0.000 0.000 0.634
Hf4 0.667 0.333 0.817
N1 0.333 0.667 0.270
N2 0.333 0.667 0.730
P1 0.667 0.333 0.500

=====

# BaPtW

A relaxed structure of BaPtW (PBE-GGA, OQMD via LeMat-Bulk).

Properties
DFT total energy: -5.79 eV/atom

a b c (Å): 4.942 4.942 4.942
angles (deg): 60.00 60.00 60.00
Positions (direct):
Ba1 0.250 0.250 0.250
Pt1 0.000 0.000 0.000
W1 0.750 0.750 0.750

=====

# ScBeCoGe

A relaxed structure of ScBeCoGe (PBE-GGA, OQMD via LeMat-Bulk).

Properties
DFT total energy: -5.73 eV/atom

a b c (Å): 4.177 4.177 4.177
angles (deg): 60.00 60.00 60.00
Positions (direct):
Be1 0.000 0.000 0.000
Co1 0.500 0.500 0.500
Ge1 0.250 0.250 0.250
Sc1 0.750 0.750 0.750

=====

# TbCdInTe3

A relaxed structure of TbCdInTe3 (PBE-GGA, OQMD via LeMat-Bulk).

Properties
DFT total energy: -3.66 eV/atom

a b c (Å): 13.037 4.558 13.276
angles (deg): 90.00 90.00 90.00
Positions (direct):
Cd1 0.756 0.000 0.197
Cd2 0.256 0.000 0.303
Cd3 0.744 0.500 0.697
Cd4 0.244 0.500 0.803
In1 0.833 0.500 0.004
In2 0.333 0.500 0.496
In3 0.667 0.000 0.504
In4 0.167 0.000 0.996
Tb1 0.470 0.500 0.177
Tb2 0.970 0.500 0.323
Tb3 0.030 0.000 0.677
Tb4 0.530 0.000 0.823
Te1 0.588 0.000 0.064
Te2 0.971 0.000 0.155
Te3 0.233 0.500 0.172
Te4 0.733 0.500 0.328
Te5 0.471 0.000 0.345
Te6 0.088 0.000 0.436
Te7 0.912 0.500 0.564
Te8 0.529 0.500 0.655
Te9 0.267 0.000 0.672
Te10 0.767 0.000 0.828
Te11 0.029 0.500 0.845
Te12 0.412 0.500 0.936

=====

# Rb2MoAuBr6

A relaxed structure of Rb2MoAuBr6 (PBE-GGA, OQMD via LeMat-Bulk).

Properties
DFT total energy: -3.45 eV/atom

a b c (Å): 7.674 7.674 7.674
angles (deg): 60.00 60.00 60.00
Positions (direct):
Au1 0.500 0.500 0.500
Br1 0.759 0.241 0.241
Br2 0.241 0.759 0.241
Br3 0.759 0.759 0.241
Br4 0.241 0.241 0.759
Br5 0.759 0.241 0.759
Br6 0.241 0.759 0.759
Mo1 0.000 0.000 0.000
Rb1 0.250 0.250 0.250
Rb2 0.750 0.750 0.750

=====

# CdOs

A relaxed structure of CdOs (PBE-GGA, OQMD via LeMat-Bulk).

Properties
DFT total energy: -3.52 eV/atom

a b c (Å): 4.293 4.293 4.293
angles (deg): 60.00 60.00 60.00
Positions (direct):
Cd1 0.000 0.000 0.000
Os1 0.250 0.250 0.250

=====

# Pr2Al8Ni

A relaxed structure of Pr2Al8Ni (PBE-GGA, OQMD via LeMat-Bulk).

Properties
DFT total energy: -4.48 eV/atom

a b c (Å): 4.324 4.324 11.387
angles (deg): 90.00 90.00 90.00
Positions (direct):
Al1 0.500 0.000 0.116
Al2 0.000 0.500 0.116
Al3 0.500 0.500 0.300
Al4 0.500 0.000 0.500
Al5 0.000 0.500 0.500
Al6 0.500 0.500 0.700
Al7 0.500 0.000 0.884
Al8 0.000 0.500 0.884
Ni1 0.000 0.000 0.000
Pr1 0.000 0.000 0.307
Pr2 0.000 0.000 0.693

=====

# LiSi2Au2

A relaxed structure of LiSi2Au2 (PBE-GGA, OQMD via LeMat-Bulk).

Properties
DFT total energy: -4.01 eV/atom

a b c (Å): 5.751 5.751 5.751
angles (deg): 135.32 135.32 65.03
Positions (direct):
Au1 0.750 0.250 0.500
Au2 0.250 0.750 0.500
Li1 0.000 0.000 0.000
Si1 0.382 0.382 0.000
Si2 0.618 0.618 0.000

=====

# NaSmTeO

A relaxed structure of NaSmTeO (PBE-GGA, OQMD via LeMat-Bulk).

Properties
DFT total energy: -5.54 eV/atom

a b c (Å): 7.333 7.749 6.782
angles (deg): 90.00 99.67 90.00
Positions (direct):
Na1 0.890 0.290 0.023
Na2 0.110 0.790 0.477
Na3 0.890 0.210 0.523
Na4 0.110 0.710 0.977
O1 0.588 0.347 0.105
O2 0.412 0.847 0.395
O3 0.588 0.153 0.605
O4 0.412 0.653 0.895
Sm1 0.539 0.624 0.220
Sm2 0.461 0.124 0.280
Sm3 0.539 0.876 0.720
Sm4 0.461 0.376 0.780
Te1 0.807 0.928 0.157
Te2 0.193 0.428 0.343
Te3 0.807 0.572 0.657
Te4 0.193 0.072 0.843

=====

# LuBPt2

A relaxed structure of LuBPt2 (PBE-GGA, OQMD via LeMat-Bulk).

Properties
DFT total energy: -5.90 eV/atom

a b c (Å): 4.489 4.489 4.489
angles (deg): 60.00 60.00 60.00
Positions (direct):
B1 0.500 0.500 0.500
Lu1 0.250 0.250 0.250
Pt1 0.000 0.000 0.000
Pt2 0.750 0.750 0.750